# Zr2BeSe meta-GGA SCAN single point on PBEsol structure
# - Raw formation energy: -0.319 eV per atom
# - Relative energy among the computed polymorphs: 127 meV per atom
data_Zr2BeSe
_chemical_formula_sum 'Zr2 Be1 Se1'
_cell_length_a 5.461
_cell_length_b 5.461
_cell_length_c 5.461
_cell_angle_alpha 145.41
_cell_angle_beta 131.20
_cell_angle_gamma 61.19
_symmetry_space_group_name_H-M 'P 1'
_symmetry_Int_Tables_number 1
loop_
_symmetry_equiv_pos_as_xyz
'x,y,z'
loop_
_atom_site_label
_atom_site_type_symbol
_atom_site_fract_x
_atom_site_fract_y
_atom_site_fract_z
Zr1 Zr 0.000 0.000 0.000
Zr2 Zr 0.729 0.229 0.500
Be1 Be 0.271 0.771 0.500
Se1 Se 0.475 0.475 0.000

---

# Zr2BeSe meta-GGA SCAN single point on PBEsol structure
# - Raw formation energy: -0.447 eV per atom
# - Relative energy among the computed polymorphs: 0 meV per atom
data_Zr2BeSe
_chemical_formula_sum 'Zr2 Be1 Se1'
_cell_length_a 4.650
_cell_length_b 4.650
_cell_length_c 3.211
_cell_angle_alpha 90.00
_cell_angle_beta 90.00
_cell_angle_gamma 101.14
_symmetry_space_group_name_H-M 'P 1'
_symmetry_Int_Tables_number 1
loop_
_symmetry_equiv_pos_as_xyz
'x,y,z'
loop_
_atom_site_label
_atom_site_type_symbol
_atom_site_fract_x
_atom_site_fract_y
_atom_site_fract_z
Zr1 Zr 0.000 0.500 0.000
Zr2 Zr 0.500 0.000 0.000
Be1 Be 0.000 0.000 0.500
Se1 Se 0.500 0.500 0.500

---

# ZrBeSe2 meta-GGA SCAN single point on PBEsol structure
# - Raw formation energy: -0.992 eV per atom
data_ZrBeSe2
_chemical_formula_sum 'Zr1 Be1 Se2'
_cell_length_a 3.586
_cell_length_b 5.639
_cell_length_c 5.639
_cell_angle_alpha 37.16
_cell_angle_beta 90.00
_cell_angle_gamma 90.00
_symmetry_space_group_name_H-M 'P 1'
_symmetry_Int_Tables_number 1
loop_
_symmetry_equiv_pos_as_xyz
'x,y,z'
loop_
_atom_site_label
_atom_site_type_symbol
_atom_site_fract_x
_atom_site_fract_y
_atom_site_fract_z
Zr1 Zr 0.000 0.000 0.000
Be1 Be 0.500 0.192 0.192
Se1 Se 0.000 0.690 0.690
Se2 Se 0.500 0.404 0.404